1 | Entry from the Alexandria database: RbPaBi2 after structural relaxation (PBE).

The structure in POSCAR format:
```
RbPaBi2
1.0
4.670 0.000 0.000
2.335 4.044 0.000
2.335 1.348 8.625
Bi Rb Pa
2 1 1
direct
0.270 0.270 0.189
0.730 0.730 0.811
0.500 0.500 0.500
0.000 0.000 0.000
```

M_tot: 0.0 μB per cell
space-group type: R-3m
calculated volume: 40.7 A^3/atom

***

2 | Entry from the Alexandria database: RbPaBi2 after structural relaxation (PBE).

The structure in POSCAR format:
```
RbPaBi2
1.0
3.743 0.000 0.000
0.000 3.743 0.000
0.000 0.000 9.761
Bi Pa Rb
2 1 1
direct
0.000 0.000 0.214
0.000 0.000 0.786
0.500 0.500 0.000
0.500 0.500 0.500
```

M_tot: 1.7 μB per cell
space-group type: P4/mmm
N(E_F): 6.49 states/eV/cell
calculated volume: 34.2 A^3/atom

***

Most favorable structure: 1. The second most favorable one is 50 meV per atom above it.

***

1 | Entry from the Alexandria database: PaReBi after structural relaxation (PBE).

The structure in POSCAR format:
```
PaReBi
1.0
-2.413 0.861 2.207
2.126 -0.603 2.560
2.003 5.588 -2.582
Re Pa Bi
1 1 1
direct
0.330 0.330 0.659
0.692 0.692 0.383
0.979 0.979 0.958
```

M_tot: 0.0 μB per cell
space-group type: I4mm
N(E_F): 3.29 states/eV/cell
calculated volume: 22.9 A^3/atom

***

2 | Entry from the Alexandria database: PaReBi after structural relaxation (PBE).

The structure in POSCAR format:
```
PaReBi
1.0
-1.139 1.646 4.051
3.252 -2.479 1.922
3.573 5.802 -3.874
Bi Pa Re
2 2 2
direct
0.360 0.360 0.720
0.640 0.640 0.280
0.874 0.874 0.749
0.126 0.126 0.251
0.000 0.500 0.000
0.500 0.000 0.000
```

M_tot: 0.0 μB per cell
space-group type: I4/mmm
N(E_F): 7.37 states/eV/cell
calculated volume: 24.4 A^3/atom

***

Most favorable structure: 2. The second most favorable one is 163 meV per atom above it.

***

1 | Entry from the Alexandria database: Pa2ReBi after structural relaxation (PBE).

The structure in POSCAR format:
```
Pa2ReBi
1.0
3.247 0.000 0.000
1.623 2.812 0.000
1.623 0.937 10.358
Bi Pa Re
1 2 1
direct
0.500 0.500 0.500
0.261 0.261 0.216
0.739 0.739 0.784
0.000 0.000 0.000
```

M_tot: 0.0 μB per cell
space-group type: R-3m
N(E_F): 5.82 states/eV/cell
calculated volume: 23.6 A^3/atom

***

2 | Entry from the Alexandria database: Pa2ReBi after structural relaxation (PBE).

The structure in POSCAR format:
```
Pa2ReBi
1.0
3.288 0.000 0.000
0.000 3.288 0.000
0.000 0.000 8.843
Re Bi Pa
1 1 2
direct
0.500 0.500 0.000
0.500 0.500 0.500
0.000 0.000 0.208
0.000 0.000 0.792
```

M_tot: 0.0 μB per cell
space-group type: P4/mmm
N(E_F): 5.52 states/eV/cell
calculated volume: 23.9 A^3/atom

***

Most favorable structure: 2. The second most favorable one is 275 meV per atom above it.

***

1 | Entry from the Alexandria database: Pa2BiRh after structural relaxation (PBE).

The structure in POSCAR format:
```
Pa2BiRh
1.0
-2.741 0.514 -1.717
-0.477 -1.573 -2.833
-5.870 -8.366 3.742
Rh Pa Bi
1 2 1
direct
0.000 0.000 0.000
0.078 0.078 0.767
0.922 0.922 0.233
0.500 0.500 0.500
```

M_tot: 0.0 μB per cell
space-group type: R-3m
N(E_F): 5.41 states/eV/cell
calculated volume: 24.9 A^3/atom

***

2 | Entry from the Alexandria database: Pa2BiRh after structural relaxation (PBE).

The structure in POSCAR format:
```
Pa2BiRh
1.0
-3.126 -0.608 1.972
-0.399 -3.334 -1.661
3.668 -2.891 4.922
Pa Rh Bi
2 1 1
direct
0.000 0.000 0.209
0.000 0.000 0.791
0.500 0.500 0.000
0.500 0.500 0.500
```

M_tot: 0.0 μB per cell
space-group type: P4/mmm
N(E_F): 7.10 states/eV/cell
calculated volume: 23.8 A^3/atom

***

Most favorable structure: 2. The second most favorable one is 351 meV per atom above it.